DFT (PBE) results for a relaxed Ta2Ga2NiPd crystal.

```
data_Ta2Ga2NiPd
_symmetry_space_group_name_H-M 'P 1 m 1'
_symmetry_Int_Tables_number 6
_cell_length_a 7.226
_cell_length_b 4.154
_cell_length_c 13.803
_cell_angle_alpha 90.00
_cell_angle_beta 99.71
_cell_angle_gamma 90.00
loop_
_symmetry_equiv_pos_as_xyz
'x,y,z'
'x,-y,z'
loop_
_atom_site_label
_atom_site_type_symbol
_atom_site_fract_x
_atom_site_fract_y
_atom_site_fract_z
_atom_site_occupancy
Ta1 Ta 0.000 0.000 0.000 1
Ta2 Ta 0.008 0.500 0.493 1
Ta3 Ta 0.236 0.000 0.737 1
Ta4 Ta 0.247 0.500 0.242 1
Ta5 Ta 0.483 0.000 0.484 1
Ta6 Ta 0.500 0.500 0.999 1
Ta7 Ta 0.744 0.000 0.237 1
Ta8 Ta 0.757 0.500 0.740 1
Ga1 Ga 0.122 0.500 0.861 1
Ga2 Ga 0.125 0.000 0.363 1
Ga3 Ga 0.365 0.500 0.612 1
Ga4 Ga 0.373 0.000 0.123 1
Ga5 Ga 0.613 0.500 0.362 1
Ga6 Ga 0.621 0.000 0.865 1
Ga7 Ga 0.876 0.500 0.124 1
Ga8 Ga 0.878 0.000 0.616 1
Ni1 Ni 0.060 0.000 0.181 1
Ni2 Ni 0.060 0.500 0.677 1
Ni3 Ni 0.306 0.500 0.426 1
Ni4 Ni 0.558 0.500 0.180 1
Pd1 Pd 0.309 0.000 0.931 1
Pd2 Pd 0.558 0.000 0.675 1
Pd3 Pd 0.809 0.000 0.427 1
Pd4 Pd 0.812 0.500 0.932 1
```

# GaTcNiPd PBE relaxed
data_GaTcNiPd
_symmetry_space_group_name_H-M 'F -4 3 m'
_symmetry_Int_Tables_number 216
_symmetry_space_group_name_Hall 'F -4 2 3'
_cell_length_a 6.069
_cell_length_b 6.069
_cell_length_c 6.069
_cell_angle_alpha 90.00
_cell_angle_beta 90.00
_cell_angle_gamma 90.00
loop_
_atom_site_label
_atom_site_type_symbol
_atom_site_fract_x
_atom_site_fract_y
_atom_site_fract_z
_atom_site_occupancy
Ga1 Ga 0.000 0.000 0.000 1
Tc1 Tc 0.250 0.250 0.750 1
Ni1 Ni 0.250 0.250 0.250 1
Pd1 Pd 0.000 0.000 0.500 1
# excess energy over the best structure of this formula in the dataset	0.000	eV per atom

DFT (PBE) results for a relaxed Tm2Ga2NiPd3 crystal.

```
data_Tm2Ga2NiPd3
_symmetry_space_group_name_H-M 'P 3 m 1'
_symmetry_Int_Tables_number 156
_cell_length_a 4.3214
_cell_length_b 4.3214
_cell_length_c 8.8684
_cell_angle_alpha 90.00
_cell_angle_beta 90.00
_cell_angle_gamma 120.00
loop_
_symmetry_equiv_pos_as_xyz
'x,y,z'
'-y,x-y,z'
'-x+y,-x,z'
'-y,-x,z'
'-x+y,y,z'
'x,x-y,z'
loop_
_atom_site_label
_atom_site_type_symbol
_atom_site_fract_x
_atom_site_fract_y
_atom_site_fract_z
_atom_site_occupancy
Tm1 Tm 0.0000 0.0000 0.0000 1
Tm2 Tm 0.3333 0.6667 0.4883 1
Ga1 Ga 0.6667 0.3333 0.2591 1
Ga2 Ga 0.6667 0.3333 0.7434 1
Ni1 Ni 0.0000 0.0000 0.3209 1
Pd1 Pd 0.0000 0.0000 0.6538 1
Pd2 Pd 0.3333 0.6667 0.1666 1
Pd3 Pd 0.3333 0.6667 0.8283 1
```

DFT (PBE) results for a relaxed Y2Ga4NiPd crystal.

```
data_Y2Ga4NiPd
_symmetry_space_group_name_H-M 'A m m 2'
_symmetry_Int_Tables_number 38
_cell_length_a 6.695
_cell_length_b 4.275
_cell_length_c 10.117
_cell_angle_alpha 90.00
_cell_angle_beta 90.00
_cell_angle_gamma 90.00
loop_
_symmetry_equiv_pos_as_xyz
'x,y,z'
'-x,-y,z'
'-x,y,z'
'x,-y,z'
'x,y+1/2,z+1/2'
'-x,-y+1/2,z+1/2'
'-x,y+1/2,z+1/2'
'x,-y+1/2,z+1/2'
loop_
_atom_site_label
_atom_site_type_symbol
_atom_site_fract_x
_atom_site_fract_y
_atom_site_fract_z
_atom_site_occupancy
Y1 Y 0.000 0.000 0.000 1
Y2 Y 0.500 0.000 0.155 1
Ga1 Ga 0.190 0.000 0.713 1
Ga2 Ga 0.296 0.000 0.439 1
Ni1 Ni 0.000 0.000 0.285 1
Pd1 Pd 0.500 0.000 0.869 1
```

DFT (PBE) results for a relaxed YGaNiPd crystal.

```
data_YGaNiPd
_symmetry_space_group_name_H-M 'F -4 3 m'
_symmetry_Int_Tables_number 216
_symmetry_space_group_name_Hall 'F -4 2 3'
_cell_length_a 6.490
_cell_length_b 6.490
_cell_length_c 6.490
_cell_angle_alpha 90.00
_cell_angle_beta 90.00
_cell_angle_gamma 90.00
loop_
_atom_site_label
_atom_site_type_symbol
_atom_site_fract_x
_atom_site_fract_y
_atom_site_fract_z
_atom_site_occupancy
Y1 Y 0.000 0.000 0.000 1
Ga1 Ga 0.000 0.000 0.500 1
Ni1 Ni 0.250 0.250 0.750 1
Pd1 Pd 0.250 0.250 0.250 1
```

DFT (PBE) results for a relaxed Pm2Ga5Ni3 crystal.

```
data_Pm2Ga5Ni3
_symmetry_space_group_name_H-M 'I b a m'
_symmetry_Int_Tables_number 72
_symmetry_space_group_name_Hall '-I 2 2c'
_cell_length_a 9.988
_cell_length_b 12.341
_cell_length_c 5.624
_cell_angle_alpha 90.00
_cell_angle_beta 90.00
_cell_angle_gamma 90.00
loop_
_atom_site_label
_atom_site_type_symbol
_atom_site_fract_x
_atom_site_fract_y
_atom_site_fract_z
_atom_site_occupancy
Pm1 Pm 0.224 0.139 0.000 1
Ga1 Ga 0.000 0.000 0.250 1
Ga2 Ga 0.000 0.287 0.250 1
Ga3 Ga 0.167 0.408 0.000 1
Ni1 Ni 0.000 0.500 0.250 1
Ni2 Ni 0.097 0.142 0.500 1
```

Number 1: size of the total moment 0.008 Bohr magnetons per cell, total DFT energy (no corrections) -7.022 eV per atom. Number 2: size of the total moment 5.431 Bohr magnetons per cell, total DFT energy (no corrections) -6.037 eV per atom. Number 3: size of the total moment 0.036 Bohr magnetons per cell, total DFT energy (no corrections) -5.328 eV per atom. Number 4: size of the total moment 0.002 Bohr magnetons per cell, total DFT energy (no corrections) -5.198 eV per atom. Number 5: size of the total moment 0.010 Bohr magnetons per cell, total DFT energy (no corrections) -5.648 eV per atom. Number 6: size of the total moment 0.006 Bohr magnetons per cell, total DFT energy (no corrections) -4.746 eV per atom.